1.
Entry from Alexandria: a relaxed structure of KTlCr2Cl8 (PBE-GGA).

abc: 6.9224 6.9224 10.0088
angles: 69.77 69.77 60.00
With the nearest neighbours (Å) after each atom.
Fractional positions:
K (0.0000, 0.0000, 0.0000)  6 Cl 3.26
Tl (0.5000, 0.5000, 0.5000)  6 Cl 3.47
Cr (0.2455, 0.2455, 0.2635)  4 Cl 2.18-2.23
Cr (0.7545, 0.7545, 0.7365)  4 Cl 2.18-2.23
Cl (0.1665, 0.1665, 0.5006)  1 Cr 2.18
Cl (0.5457, 0.3235, 0.2005)  1 Cr 2.23
Cl (0.8335, 0.8335, 0.4994)  1 Cr 2.18
Cl (0.9302, 0.5457, 0.2005)  1 Cr 2.23
Cl (0.0698, 0.4543, 0.7995)  1 Cr 2.23
Cl (0.3235, 0.9302, 0.2005)  1 Cr 2.23
Cl (0.6765, 0.0698, 0.7995)  1 Cr 2.23
Cl (0.4543, 0.6765, 0.7995)  1 Cr 2.23

Results
Formation energy from raw total energies ... -1.081 eV/atom
Space-group type ... R-3, No. 148
E ... -50.46 eV for the cell shown
Size of the total moment ... 6.00 μB per cell

---

2.
Entry from Alexandria: a relaxed structure of KTmCrCl6 (PBE-GGA).

abc: 6.6761 6.6761 14.0114
angles: 90.00 90.00 120.00
With the nearest neighbours (Å) after each atom.
Fractional positions:
K (0.0000, 0.0000, 0.0000)  6 Cl 3.20
K (0.0000, 0.0000, 0.5000)  6 Cl 3.20
Tm (0.6667, 0.3333, 0.2500)  6 Cl 2.62
Tm (0.3333, 0.6667, 0.7500)  6 Cl 2.62
Cr (0.3333, 0.6667, 0.2500)  6 Cl 2.53
Cr (0.6667, 0.3333, 0.7500)  6 Cl 2.53
Cl (0.6245, 0.6347, 0.1454)  1 Cr 2.53, 1 Tm 2.62
Cl (0.0103, 0.3755, 0.1454)  1 Cr 2.53, 1 Tm 2.62
Cl (0.3755, 0.0103, 0.6454)  1 Cr 2.53, 1 Tm 2.62
Cl (0.9897, 0.6245, 0.8546)  1 Cr 2.53, 1 Tm 2.62
Cl (0.3653, 0.3755, 0.3546)  1 Cr 2.53, 1 Tm 2.62
Cl (0.0103, 0.6347, 0.3546)  1 Cr 2.53, 1 Tm 2.62
Cl (0.6347, 0.0103, 0.8546)  1 Cr 2.53, 1 Tm 2.62
Cl (0.6245, 0.9897, 0.3546)  1 Cr 2.53, 1 Tm 2.62
Cl (0.9897, 0.3653, 0.6454)  1 Cr 2.53, 1 Tm 2.62
Cl (0.3653, 0.9897, 0.1454)  1 Cr 2.53, 1 Tm 2.62
Cl (0.6347, 0.6245, 0.6454)  1 Cr 2.53, 1 Tm 2.62
Cl (0.3755, 0.3653, 0.8546)  1 Cr 2.53, 1 Tm 2.62

Results
Formation energy from raw total energies ... -1.770 eV/atom
Space-group type ... P-31c, No. 163
E ... -84.41 eV for the cell shown
Size of the total moment ... 8.00 μB per cell

---

3.
Entry from Alexandria: a relaxed structure of KVCrCl6 (PBE-GGA).

abc: 6.3286 6.3286 14.0890
angles: 90.00 90.00 120.00
With the nearest neighbours (Å) after each atom.
Fractional positions:
K (0.0000, 0.0000, 0.0000)  6 Cl 3.17
K (0.0000, 0.0000, 0.5000)  6 Cl 3.17
V (0.3333, 0.6667, 0.2500)  6 Cl 2.44
V (0.6667, 0.3333, 0.7500)  6 Cl 2.44
Cr (0.6667, 0.3333, 0.2500)  6 Cl 2.41
Cr (0.3333, 0.6667, 0.7500)  6 Cl 2.41
Cl (0.6358, 0.6316, 0.1538)  1 Cr 2.41, 1 V 2.44
Cl (0.9958, 0.3642, 0.1538)  1 Cr 2.41, 1 V 2.44
Cl (0.3642, 0.9958, 0.6538)  1 Cr 2.41, 1 V 2.44
Cl (0.0042, 0.6358, 0.8462)  1 Cr 2.41, 1 V 2.44
Cl (0.3684, 0.3642, 0.3462)  1 Cr 2.41, 1 V 2.44
Cl (0.9958, 0.6316, 0.3462)  1 Cr 2.41, 1 V 2.44
Cl (0.6316, 0.9958, 0.8462)  1 Cr 2.41, 1 V 2.44
Cl (0.6358, 0.0042, 0.3462)  1 Cr 2.41, 1 V 2.44
Cl (0.0042, 0.3684, 0.6538)  1 Cr 2.41, 1 V 2.44
Cl (0.3684, 0.0042, 0.1538)  1 Cr 2.41, 1 V 2.44
Cl (0.6316, 0.6358, 0.6538)  1 Cr 2.41, 1 V 2.44
Cl (0.3642, 0.3684, 0.8462)  1 Cr 2.41, 1 V 2.44

Results
Formation energy from raw total energies ... -1.353 eV/atom
Space-group type ... P-31c, No. 163
E ... -86.19 eV for the cell shown
Size of the total moment ... 12.00 μB per cell

---

4.
Entry from Alexandria: a relaxed structure of KZn2CrCl8 (PBE-GGA).

abc: 6.1719 6.1719 10.5911
angles: 73.06 73.06 60.00
With the nearest neighbours (Å) after each atom.
Fractional positions:
K (0.5000, 0.5000, 0.5000)  6 Cl 3.63
Zn (0.2634, 0.2634, 0.2099)  4 Cl 2.23-2.32
Zn (0.7366, 0.7366, 0.7901)  4 Cl 2.23-2.32
Cr (0.0000, 0.0000, 0.0000)  6 Cl 2.37
Cl (0.1889, 0.1889, 0.4332)  1 Zn 2.23
Cl (0.6527, 0.2721, 0.1394)  1 Zn 2.32, 1 Cr 2.37
Cl (0.8111, 0.8111, 0.5668)  1 Zn 2.23
Cl (0.9358, 0.6527, 0.1394)  1 Zn 2.32, 1 Cr 2.37
Cl (0.0642, 0.3473, 0.8606)  1 Zn 2.32, 1 Cr 2.37
Cl (0.2721, 0.9358, 0.1394)  1 Zn 2.32, 1 Cr 2.37
Cl (0.7279, 0.0642, 0.8606)  1 Zn 2.32, 1 Cr 2.37
Cl (0.3473, 0.7279, 0.8606)  1 Zn 2.32, 1 Cr 2.37

Results
Formation energy from raw total energies ... -1.225 eV/atom
Space-group type ... R-3, No. 148
E ... -42.74 eV for the cell shown
Size of the total moment ... 3.00 μB per cell